Entry 1:
VASP calculation (PBE) on a relaxed Tm2LuHg crystal.

Structure (extended XYZ):
```
4
Lattice="4.741 0.000 0.000 0.000 4.728 0.000 0.000 0.000 4.728" Properties=species:S:1:pos:R:3 pbc="T T T"
Lu 2.370 2.364 2.364
Tm 0.000 0.000 2.364
Tm 0.000 2.364 0.000
Hg 2.370 0.000 0.000
```

Properties
ΔH_f (0 K) = -153 meV/atom
SG = P4/mmm
Volume = 26.5 A^3/atom



Entry 2:
VASP calculation (PBE) on a relaxed Tm2LuHg crystal.

Structure (extended XYZ):
```
4
Lattice="-4.219 1.269 -2.991 -0.878 -2.557 -4.588 -4.084 -3.392 -0.419" Properties=species:S:1:pos:R:3 pbc="T T T"
Lu 0.000 0.000 0.000
Tm -2.295 -1.170 -1.999
Tm -6.886 -3.510 -5.998
Hg -4.590 -2.340 -3.999
```

Properties
ΔH_f (0 K) = -42 meV/atom
SG = Fm-3m
Volume = 26.7 A^3/atom



Entry 3:
VASP calculation (PBE) on a relaxed TmLu2Hg crystal.

Structure (extended XYZ):
```
4
Lattice="-3.366 0.944 0.515 -2.546 -1.350 -2.045 -3.154 -7.984 6.147" Properties=species:S:1:pos:R:3 pbc="T T T"
Lu -2.242 -1.936 1.017
Lu -6.824 -6.454 3.599
Tm -4.533 -4.195 2.308
Hg 0.000 0.000 0.000
```

Properties
ΔH_f (0 K) = -153 meV/atom
SG = R-3m
Volume = 28.0 A^3/atom



volume of number 3 (TmLu2Hg)?
28.0 A^3/atom



Among the records above, which one has the lowest volume?
number 1



Which of these has the highest ΔH_f (0 K)?
number 2



What is the volume in the second record?
26.7 A^3/atom